# K4IrOs

A relaxed K4IrOs crystal (PBE, the Alexandria database).

Properties
- Energy of formation: 1700.2 meV/atom
- Density: 5.420 g cm⁻³
- Volume: 165.1 Å³/f.u.
- Magnetization: 0.50 μB/atom
- N(E_F): 5.14 states/eV/cell

Lattice parameters (Å, degrees): 6.158 6.158 6.158 60.00 60.00 60.00
Positions (direct):
K1 0.125 0.125 0.125
K2 0.125 0.125 0.625
K3 0.125 0.625 0.125
K4 0.625 0.125 0.125
Ir1 0.500 0.500 0.500
Os1 0.750 0.750 0.750



# K2IrOs

A relaxed K2IrOs crystal (PBE, the Alexandria database).

Properties
- Energy of formation: 1183.8 meV/atom
- Density: 9.418 g cm⁻³
- Volume: 81.2 Å³/f.u.
- Magnetization: 0.00 μB/atom
- N(E_F): 4.18 states/eV/cell

Lattice parameters (Å, degrees): 6.189 6.189 6.189 144.06 144.06 51.74
Positions (direct):
K1 0.250 0.750 0.500
K2 0.750 0.250 0.500
Ir1 0.000 0.000 0.000
Os1 0.500 0.500 0.000



Record-wise uncorrected energy values, in eV for the cell shown: -14.28 -17.55